*a*
Computed, not measured: a crystal of CoCu3Br relaxed with PBEsol at the meta-GGA SCAN level of DFT.

Lattice parameters (Å, degrees): 4.4869 4.4869 4.4869 90.00 90.00 90.00
Space group Pm-3m (No. 221)
Asymmetric unit:
Co1 0.0000 0.0000 0.0000
Cu1 0.0000 0.5000 0.5000
Br1 0.5000 0.5000 0.5000

Values from the calculation:
The value obtained for the density of states at the Fermi level is 2.7 states/eV per cell. Its crystal system is cubic. As for the magnetic moment: 1.93 μB/f.u.

*b*
Computed, not measured: a crystal of CoCu3Br relaxed with PBEsol at the meta-GGA SCAN level of DFT.

Lattice parameters (Å, degrees): 4.4131 4.4131 4.4131 90.00 90.00 90.00
Space group Pm-3m (No. 221)
Asymmetric unit:
Co1 0.0000 0.0000 0.0000
Cu1 0.0000 0.0000 0.5000
Br1 0.5000 0.5000 0.5000

Values from the calculation:
The value obtained for the density of states at the Fermi level is 3.5 states/eV per cell. Its crystal system is cubic. As for the magnetic moment: 2.08 μB/f.u.

Stability order, top to bottom: *b*, *a*

*a*
Computed, not measured: a crystal of InCoBr2 relaxed with PBEsol at the meta-GGA SCAN level of DFT.

Lattice parameters (Å, degrees): 3.5467 6.2019 8.7540 90.00 90.00 90.00
Space group Cmmm (No. 65)
Asymmetric unit:
In1 0.0000 0.0000 0.0000
Co1 0.0000 0.0000 0.5000
Br1 0.0000 0.5000 0.3130

Values from the calculation:
The value obtained for the density of states at the Fermi level is 5.1 states/eV per cell. Its crystal system is orthorhombic. As for the magnetic moment: 2.14 μB/f.u.

*b*
Computed, not measured: a crystal of InCoBr2 relaxed with PBEsol at the meta-GGA SCAN level of DFT.

Lattice parameters (Å, degrees): 3.9267 3.4043 7.1791 90.00 105.74 90.00
Space group Pm (No. 6)
Asymmetric unit:
In1 0.0000 0.0000 0.0000
Co1 0.4670 0.5000 0.9336
Br1 0.3409 0.0000 0.6789
Br2 0.6360 0.5000 0.2731

Values from the calculation:
The value obtained for the density of states at the Fermi level is 1.6 states/eV per cell. Its crystal system is monoclinic. As for the magnetic moment: 1.48 μB/f.u.

*c*
Computed, not measured: a crystal of InCoBr2 relaxed with PBEsol at the meta-GGA SCAN level of DFT.

Lattice parameters (Å, degrees): 7.2473 7.8559 3.5116 90.00 109.00 90.00
Space group C2/m (No. 12)
Asymmetric unit:
In1 0.0000 0.0000 0.0000
Co1 0.0000 0.5000 0.0000
Br1 0.2500 0.2500 0.5000

Values from the calculation:
The value obtained for the density of states at the Fermi level is 1.4 states/eV per cell. Its crystal system is monoclinic. As for the magnetic moment: 2.07 μB/f.u.

Stability order, top to bottom: *b*, *a*, *c*

*a*
Computed, not measured: a crystal of In2CoBr relaxed with PBEsol at the meta-GGA SCAN level of DFT.

Lattice parameters (Å, degrees): 3.2790 3.3975 15.4704 90.00 90.00 90.00
Space group Imm2 (No. 44)
Asymmetric unit:
In1 0.0000 0.0000 0.0000
In2 0.0000 0.5000 0.1969
Co1 0.0000 0.0000 0.5691
Br1 0.0000 0.5000 0.8274

Values from the calculation:
The value obtained for the density of states at the Fermi level is 3.1 states/eV per cell. Its crystal system is orthorhombic. As for the magnetic moment: 1.28 μB/f.u.

*b*
Computed, not measured: a crystal of In2CoBr relaxed with PBEsol at the meta-GGA SCAN level of DFT.

Lattice parameters (Å, degrees): 7.3183 7.3157 3.0769 90.00 90.16 90.00
Space group C2/m (No. 12)
Asymmetric unit:
In1 0.2500 0.2500 0.0000
Co1 0.0000 0.0000 0.5000
Br1 0.0000 0.5000 0.5000

Values from the calculation:
The value obtained for the density of states at the Fermi level is 3.0 states/eV per cell. Its crystal system is monoclinic. As for the magnetic moment: 1.69 μB/f.u.

Stability order, top to bottom: *a*, *b*

*a*
Computed, not measured: a crystal of CoIr2Br relaxed with PBEsol at the meta-GGA SCAN level of DFT.

Lattice parameters (Å, degrees): 3.9683 3.9683 7.2277 90.00 90.00 90.00
Space group I4/mmm (No. 139)
Asymmetric unit:
Co1 0.0000 0.0000 0.0000
Ir1 0.0000 0.5000 0.2500
Br1 0.0000 0.0000 0.5000

Values from the calculation:
The value obtained for the density of states at the Fermi level is 6.1 states/eV per cell. Its crystal system is tetragonal. As for the magnetic moment: 2.18 μB/f.u.

*b*
Computed, not measured: a crystal of CoIr2Br relaxed with PBEsol at the meta-GGA SCAN level of DFT.

Lattice parameters (Å, degrees): 8.3774 2.7865 7.5745 90.00 123.49 90.00
Space group Cm (No. 8)
Asymmetric unit:
Co1 0.0000 0.0000 0.0000
Ir1 0.1062 0.5000 0.3196
Ir2 0.3055 0.5000 0.1704
Br1 0.3337 0.0000 0.6892

Values from the calculation:
The value obtained for the density of states at the Fermi level is 5.7 states/eV per cell. Its crystal system is monoclinic. As for the magnetic moment: 1.90 μB/f.u.

Stability order, top to bottom: *b*, *a*